[1]
First-principles (PBE) data for a geometry-optimized ErGaTc structure, as listed in Alexandria.

a b c (Å): 11.023 11.023 11.023
angles (deg): 19.88 19.88 19.88
Fractional coordinates of all 6 atoms:
Er  0.121  0.121  0.121
Er  0.879  0.879  0.879
Ga  0.396  0.396  0.396
Ga  0.604  0.604  0.604
Tc  0.315  0.315  0.315
Tc  0.685  0.685  0.685

Properties
N(E_F) in states/eV per cell: 4.708
Polymorph energy (0 for the lowest one) in meV per atom: 547
Total magnetic moment in μB/atom: 0.0041
Uncorrected energy in eV per atom: -5.91
SG: R-3m, No. 166
Energy relative to the elements in eV per atom: 0.078


[2]
First-principles (PBE) data for a geometry-optimized ScNi2BH structure, as listed in Alexandria.

a b c (Å): 3.563 3.563 4.002
angles (deg): 90.00 90.00 90.00
Fractional coordinates of all 5 atoms:
Sc  0.000  0.000  0.000
Ni  0.000  0.500  0.500
Ni  0.500  0.000  0.500
B  0.500  0.500  0.000
H  0.000  0.000  0.500

Properties
N(E_F) in states/eV per cell: 3.399
Total magnetic moment in μB/atom: 0.0000
Uncorrected energy in eV per atom: -5.57
SG: P4/mmm, No. 123


[3]
First-principles (PBE) data for a geometry-optimized TlTeBr2 structure, as listed in Alexandria.

a b c (Å): 5.193 3.973 6.460
angles (deg): 90.00 100.93 90.00
Fractional coordinates of all 4 atoms:
Tl  0.000  0.000  0.000
Te  0.500  0.500  0.500
Br  0.000  0.000  0.500
Br  0.500  0.500  0.000

Properties
Raw formation energy in meV/atom: -217
N(E_F) in states/eV per cell: 0.594
Polymorph energy (0 for the lowest one) in meV per atom: 93
Total magnetic moment in μB/atom: 0.0000
Uncorrected energy in eV per atom: -2.43
SG: P2/m, No. 10